The following is a DFT calculation (GGA-PBE) of a relaxed structure of Ba4Na2S.

Cell: 10.6823 10.6823 10.6823 Å, 146.52 146.52 48.08°
Fractional coordinates of all 7 atoms:
Ba: 0.0000 0.5000 0.5000
Ba: 0.1710 0.1710 0.0000
Ba: 0.5000 0.0000 0.5000
Ba: 0.8290 0.8290 0.0000
Na: 0.3670 0.3670 0.0000
Na: 0.6330 0.6330 0.0000
S: 0.0000 0.0000 0.0000

Computed properties:
**DOS at the Fermi energy**: 1.01 states/eV/atom
**V**: 52.8 Å³/atom
**Total moment**: 0.00 μB per formula unit
**Energy relative to the elements, uncorrected**: -473.8 meV/atom